This record from Alexandria via LeMat-Bulk describes an optimized crystal structure of MnAlAs. The functional is GGA-PBE.

* space-group type: No. 216
* raw total energy: -5.60 eV per atom
* formation energy from the elements: 0.753 eV per formula unit

```
MnAlAs
1.0
4.2206 0.0000 0.0000
2.1103 3.6552 0.0000
2.1103 1.2184 3.4461
Mn As Al
1 1 1
Direct
0.0000 0.0000 0.0000 Mn
0.7500 0.7500 0.7500 As
0.5000 0.5000 0.5000 Al
```

---

This record from Alexandria via LeMat-Bulk describes an optimized crystal structure of FeHgOs. The functional is GGA-PBE.

* space-group type: No. 216
* raw total energy: -5.73 eV per atom
* formation energy from the elements: 2.808 eV per formula unit

```
FeHgOs
1.0
-2.3570 -0.5413 -3.3557
1.5877 -1.7855 -3.3764
-1.2056 -3.8040 -1.0888
Os Fe Hg
1 1 1
Direct
0.5000 0.5000 0.5000 Os
0.7500 0.7500 0.7500 Fe
0.0000 0.0000 0.0000 Hg
```

---

Number 1: energy relative to the lowest polymorph listed for this composition 371.3 meV per atom. Number 2: energy relative to the lowest polymorph listed for this composition 463.9 meV per atom.